Entry from the Alexandria database: crystalline Np3TaN7 at its relaxed geometry (PBE).

```
data_Np3TaN7
_chemical_formula_sum 'Np12 Ta4 N28'
_cell_length_a 7.4007
_cell_length_b 10.3536
_cell_length_c 7.3185
_cell_angle_alpha 90.00
_cell_angle_beta 90.00
_cell_angle_gamma 90.00
_symmetry_space_group_name_H-M 'C m c m'
_symmetry_Int_Tables_number 63
_symmetry_space_group_name_Hall '-C 2c 2'
loop_
_atom_site_label
_atom_site_fract_x
_atom_site_fract_y
_atom_site_fract_z
Np1 0.0000 0.0000 0.0000
Np2 0.2340 0.2637 0.2500
Ta1 0.0000 0.5000 0.0000
N1 0.0000 0.1293 0.7500
N2 0.0000 0.1402 0.2500
N3 0.0000 0.4121 0.2500
N4 0.2196 0.3724 0.5302
```

Properties
uncorrected formation energy	-1.0117	eV per atom
magnetization	5.0	μB per formula unit
electronic total energy	-10.9165	eV per atom

***

Entry from the Alexandria database: crystalline Y12HoSc7 at its relaxed geometry (PBE).

```
data_Y12HoSc7
_chemical_formula_sum 'Y36 Ho3 Sc21'
_cell_length_a 16.1794
_cell_length_b 16.1794
_cell_length_c 8.0265
_cell_angle_alpha 90.00
_cell_angle_beta 90.00
_cell_angle_gamma 120.00
_symmetry_space_group_name_H-M 'R -3 m'
_symmetry_Int_Tables_number 166
_symmetry_space_group_name_Hall '-R 3 2"'
loop_
_atom_site_label
_atom_site_fract_x
_atom_site_fract_y
_atom_site_fract_z
Y1 0.0000 0.2825 0.0000
Y2 0.1101 0.2203 0.3224
Ho1 0.0000 0.0000 0.0000
Sc1 0.0000 0.0000 0.5000
Sc2 0.1095 0.2189 0.7415
```

Properties
magnetization	0.0	μB per formula unit
electronic total energy	-6.0515	eV per atom
formation enthalpy at 0 K	0.272	eV per atom